! Y2Zn3Ga4Pd (PBE-GGA, relaxed); values from VASP
! **Fermi-level density of states**: 4.9 states/eV/cell
! **Energy**: -3.918 eV/atom
! **Energy relative to the elements**: -0.513 eV per atom
&SYSTEM
  ibrav = 0, nat = 10, ntyp = 4
/
ATOMIC_SPECIES
Y 88.91 Y.upf
Zn 65.41 Zn.upf
Ga 69.72 Ga.upf
Pd 106.42 Pd.upf
CELL_PARAMETERS angstrom
-0.825 3.442 2.205
-3.604 -1.674 1.265
4.930 -4.231 8.449
ATOMIC_POSITIONS crystal
Y 0.500 0.000 0.251
Y 0.000 0.500 0.749
Zn 0.000 0.000 0.500
Zn 0.500 0.000 0.862
Zn 0.000 0.500 0.138
Ga 0.500 0.500 0.000
Ga 0.000 0.000 0.000
Ga 0.500 0.000 0.635
Ga 0.000 0.500 0.365
Pd 0.500 0.500 0.500